Here is MgCd2Re after structural relaxation from Alexandria via LeMat-Bulk. Energies are from GGA-PBEsol.

a = 5.074 Å, b = 5.074 Å, c = 5.196 Å
α = 98.57°, β = 98.57°, γ = 32.38°
Element x y z (fractional)
1 Mg 0.000 0.000 0.000
2 Cd 0.510 0.510 0.531
3 Cd 0.756 0.756 0.272
4 Re 0.257 0.257 0.779

## Properties
As for the final energy: -3.964 eV/atom. The calculation puts the formation energy from the elements at 0.3969 eV/atom. The density of states at the Fermi level is 2.32 states/eV/cell. For the magnetization, the calculation gives 0.00 μB/cell.